Record 1
YIn2Sb after structural relaxation, computed with PBE-GGA.

Computed properties:
E_form (uncorrected)   -26 kJ/mol of formula units
Magnetization   0.00 μB per cell
Crystal system   orthorhombic
Total energy   -0.15007 Ha/atom
V   27.09 Å³ per atom

Unit cell a=3.359 b=3.359 c=9.972 alpha=90.00 beta=90.00 gamma=105.56
Sites, in units of the cell vectors:
In 0.000 0.000 0.501
In 0.000 0.000 0.999
Y 0.500 0.500 0.750
Sb 0.500 0.500 0.250

=====

Record 2
YIn2Sb after structural relaxation, computed with PBE-GGA.

Computed properties:
E_form (uncorrected)   -91 kJ/mol of formula units
Magnetization   0.00 μB per cell
Crystal system   cubic
Total energy   -0.15622 Ha/atom
V   27.39 Å³ per atom

Unit cell a=5.371 b=5.371 c=5.371 alpha=60.00 beta=60.00 gamma=60.00
Sites, in units of the cell vectors:
In 0.000 0.000 0.000
In 0.250 0.250 0.250
Y 0.750 0.750 0.750
Sb 0.500 0.500 0.500

=====

Record 3
ZnInSb2 after structural relaxation, computed with PBE-GGA.

Computed properties:
E_form (uncorrected)   68 kJ/mol of formula units
Magnetization   0.00 μB per cell
Crystal system   orthorhombic
Total energy   -0.10612 Ha/atom
V   25.66 Å³ per atom

Unit cell a=6.073 b=6.073 c=6.073 alpha=142.71 beta=130.01 gamma=63.99
Sites, in units of the cell vectors:
Sb 0.024 0.024 0.000
Sb 0.248 0.748 0.500
Zn 0.484 0.484 0.000
In 0.744 0.244 0.500

=====

Question: What is the formula in the first record?
Answer: YIn2Sb